[1]
# Na2PuPdF8

An optimized crystal structure of Na2PuPdF8 (PBE, the Alexandria database).

Fermi-level density of states in states/eV/atom: 0.856
Raw formation energy in kJ/mol of atoms: -256.7
Space-group type: P-1
M_tot in μB/cell: 3.97

Unit cell a=3.983 b=5.417 c=8.116 alpha=93.82 beta=90.67 gamma=91.44
Fractional positions:
1 Na 0.013 0.470 0.223
2 Na 0.987 0.530 0.777
3 Pu 0.500 0.000 0.500
4 Pd 0.500 0.000 0.000
5 F 0.018 0.791 0.554
6 F 0.135 0.750 0.026
7 F 0.457 0.153 0.234
8 F 0.473 0.322 0.669
9 F 0.527 0.678 0.331
10 F 0.543 0.847 0.766
11 F 0.865 0.250 0.974
12 F 0.982 0.209 0.446

=====

[2]
# RbNa4Pd3F12

An optimized crystal structure of RbNa4Pd3F12 (PBE, the Alexandria database).

Fermi-level density of states in states/eV/atom: 0.441
Raw formation energy in kJ/mol of atoms: -197.3
Space-group type: Im-3
M_tot in μB/cell: 1.12

Unit cell a=7.287 b=7.287 c=7.287 alpha=109.47 beta=109.47 gamma=109.47
Fractional positions:
1 Rb 0.000 0.000 0.000
2 Na 0.000 0.000 0.500
3 Na 0.000 0.500 0.000
4 Na 0.500 0.000 0.000
5 Na 0.500 0.500 0.500
6 Pd 0.000 0.500 0.500
7 Pd 0.500 0.000 0.500
8 Pd 0.500 0.500 0.000
9 F 0.162 0.327 0.490
10 F 0.162 0.673 0.835
11 F 0.165 0.838 0.327
12 F 0.327 0.165 0.838
13 F 0.327 0.490 0.162
14 F 0.490 0.162 0.327
15 F 0.510 0.838 0.673
16 F 0.673 0.510 0.838
17 F 0.673 0.835 0.162
18 F 0.835 0.162 0.673
19 F 0.838 0.327 0.165
20 F 0.838 0.673 0.510

=====

[3]
# Rb3NaPd2F9

An optimized crystal structure of Rb3NaPd2F9 (PBE, the Alexandria database).

Fermi-level density of states in states/eV/atom: 0.434
Raw formation energy in kJ/mol of atoms: -203.7
Space-group type: P-3m1
M_tot in μB/cell: 0.61

Unit cell a=6.145 b=6.145 c=7.521 alpha=90.00 beta=90.00 gamma=120.00
Fractional positions:
1 Rb 0.000 0.000 0.000
2 Rb 0.333 0.667 0.652
3 Rb 0.667 0.333 0.348
4 Na 0.000 0.000 0.500
5 Pd 0.333 0.667 0.159
6 Pd 0.667 0.333 0.841
7 F 0.000 0.500 0.000
8 F 0.172 0.345 0.319
9 F 0.172 0.828 0.319
10 F 0.345 0.172 0.681
11 F 0.500 0.000 0.000
12 F 0.500 0.500 0.000
13 F 0.655 0.828 0.319
14 F 0.828 0.172 0.681
15 F 0.828 0.655 0.681

=====

[4]
# Na2PdRhF6

An optimized crystal structure of Na2PdRhF6 (PBE, the Alexandria database).

Fermi-level density of states in states/eV/atom: 0.053
Raw formation energy in kJ/mol of atoms: -176.0
Space-group type: P1
M_tot in μB/cell: 1.00

Unit cell a=5.455 b=5.752 c=5.867 alpha=64.42 beta=63.70 gamma=89.98
Fractional positions:
1 Na 0.000 0.000 0.000
2 Na 0.497 0.521 0.996
3 Pd 0.774 0.384 0.443
4 Rh 0.278 0.898 0.429
5 F 0.061 0.155 0.279
6 F 0.165 0.670 0.285
7 F 0.384 0.144 0.552
8 F 0.521 0.660 0.555
9 F 0.605 0.118 0.023
10 F 0.948 0.700 0.838

=====

[5]
# NaSnPdF6

An optimized crystal structure of NaSnPdF6 (PBE, the Alexandria database).

Fermi-level density of states in states/eV/atom: 0.612
Raw formation energy in kJ/mol of atoms: -201.2
Space-group type: P-31c
M_tot in μB/cell: 2.00

Unit cell a=5.822 b=5.822 c=9.572 alpha=90.00 beta=90.00 gamma=120.00
Fractional positions:
1 Na 0.333 0.667 0.250
2 Na 0.667 0.333 0.750
3 Sn 0.333 0.667 0.750
4 Sn 0.667 0.333 0.250
5 Pd 0.000 0.000 0.000
6 Pd 0.000 0.000 0.500
7 F 0.041 0.379 0.634
8 F 0.041 0.663 0.866
9 F 0.337 0.379 0.866
10 F 0.337 0.959 0.634
11 F 0.379 0.041 0.134
12 F 0.379 0.337 0.366
13 F 0.621 0.663 0.634
14 F 0.621 0.959 0.866
15 F 0.663 0.041 0.366
16 F 0.663 0.621 0.134
17 F 0.959 0.337 0.134
18 F 0.959 0.621 0.366

=====

[6]
# NaSnPd2F8

An optimized crystal structure of NaSnPd2F8 (PBE, the Alexandria database).

Fermi-level density of states in states/eV/atom: 0.355
Raw formation energy in kJ/mol of atoms: -177.3
Space-group type: P2/m
M_tot in μB/cell: 3.00

Unit cell a=5.210 b=6.899 c=5.265 alpha=90.00 beta=93.21 gamma=90.00
Fractional positions:
1 Na 0.000 0.000 0.000
2 Sn 0.000 0.500 0.000
3 Pd 0.500 0.242 0.500
4 Pd 0.500 0.758 0.500
5 F 0.185 0.288 0.826
6 F 0.185 0.712 0.826
7 F 0.282 0.500 0.292
8 F 0.302 0.000 0.312
9 F 0.698 0.000 0.688
10 F 0.718 0.500 0.708
11 F 0.815 0.288 0.174
12 F 0.815 0.712 0.174

=====

[7]
# Na2SrPdF8

An optimized crystal structure of Na2SrPdF8 (PBE, the Alexandria database).

Raw formation energy in kJ/mol of atoms: -221.3
Space-group type: P-3m1
M_tot in μB/cell: 0.05

Unit cell a=5.157 b=5.157 c=7.371 alpha=90.00 beta=90.00 gamma=120.00
Fractional positions:
1 Na 0.333 0.667 0.318
2 Na 0.667 0.333 0.682
3 Sr 0.000 0.000 0.000
4 Pd 0.000 0.000 0.500
5 F 0.167 0.333 0.669
6 F 0.167 0.833 0.669
7 F 0.333 0.167 0.331
8 F 0.333 0.667 0.031
9 F 0.667 0.333 0.969
10 F 0.667 0.833 0.669
11 F 0.833 0.167 0.331
12 F 0.833 0.667 0.331

=====

[8]
# NaSrPdF2

An optimized crystal structure of NaSrPdF2 (PBE, the Alexandria database).

Fermi-level density of states in states/eV/atom: 0.425
Raw formation energy in kJ/mol of atoms: -87.1
Space-group type: P4/mmm
M_tot in μB/cell: 0.00

Unit cell a=4.914 b=4.914 c=5.141 alpha=90.00 beta=90.00 gamma=90.00
Fractional positions:
1 Na 0.000 0.000 0.000
2 Sr 0.500 0.500 0.000
3 Pd 0.500 0.500 0.500
4 F 0.000 0.500 0.500
5 F 0.500 0.000 0.500